[1]
The following is a DFT calculation (PBE) of a relaxed structure of Dy2ScSb2O2.

Calculated values
The calculation puts the density of states at the Fermi level at 0.305 states/eV/atom. As for the density: 7.84 g cm⁻³. The raw total energy comes out at -6.808 eV/atom. The value obtained for the formation energy from raw total energies is -1.994 eV/atom.

a = 8.5585 Å, b = 8.5585 Å, c = 8.5585 Å
α = 152.13°, β = 152.13°, γ = 39.82°
Fractional positions:
Dy 0.1100 0.1100 0.0000
Dy 0.8900 0.8900 0.0000
Sc 0.5000 0.5000 0.0000
Sb 0.3122 0.3122 0.0000
Sb 0.6878 0.6878 0.0000
O 0.0000 0.5000 0.5000
O 0.5000 0.0000 0.5000

[2]
The following is a DFT calculation (PBE) of a relaxed structure of Pm3Tl6Cd2.

Calculated values
The calculation puts the density of states at the Fermi level at 0.648 states/eV/atom. As for the density: 9.57 g cm⁻³. The raw total energy comes out at -2.911 eV/atom.

a = 16.1624 Å, b = 16.1624 Å, c = 16.1624 Å
α = 163.84°, β = 163.84°, γ = 22.94°
Fractional positions:
Pm 0.0000 0.0000 0.0000
Pm 0.1620 0.1620 0.0000
Pm 0.8380 0.8380 0.0000
Tl 0.0743 0.5743 0.5000
Tl 0.2649 0.2649 0.0000
Tl 0.4257 0.9257 0.5000
Tl 0.5743 0.0743 0.5000
Tl 0.7351 0.7351 0.0000
Tl 0.9257 0.4257 0.5000
Cd 0.3581 0.3581 0.0000
Cd 0.6419 0.6419 0.0000

[3]
The following is a DFT calculation (PBE) of a relaxed structure of CaSm6Y4.

Calculated values
The calculation puts the density of states at the Fermi level at 1.662 states/eV/atom. As for the density: 5.31 g cm⁻³. The raw total energy comes out at -4.752 eV/atom. The calculation puts the energy relative to the lowest polymorph listed for this composition at 0 meV per atom.

a = 9.3763 Å, b = 9.3763 Å, c = 5.3271 Å
α = 90.00°, β = 90.00°, γ = 120.00°
Fractional positions:
Ca 0.0000 0.0000 0.0000
Sm 0.2062 0.4124 0.5000
Sm 0.2062 0.7938 0.5000
Sm 0.5341 0.0682 0.0000
Sm 0.5341 0.4659 0.0000
Sm 0.5876 0.7938 0.5000
Sm 0.9318 0.4659 0.0000
Y 0.3333 0.6667 0.0000
Y 0.4138 0.2069 0.5000
Y 0.7931 0.2069 0.5000
Y 0.7931 0.5862 0.5000

[4]
The following is a DFT calculation (PBE) of a relaxed structure of TbIn2Au.

Calculated values
The calculation puts the density of states at the Fermi level at 0.353 states/eV/atom. As for the density: 10.32 g cm⁻³. The raw total energy comes out at -3.900 eV/atom.

a = 8.9850 Å, b = 8.9850 Å, c = 8.9850 Å
α = 149.31°, β = 149.31°, γ = 43.96°
Fractional positions:
Tb 0.1344 0.1344 0.0000
Tb 0.8656 0.8656 0.0000
In 0.0000 0.5000 0.5000
In 0.3569 0.3569 0.0000
In 0.5000 0.0000 0.5000
In 0.6431 0.6431 0.0000
Au 0.2500 0.7500 0.5000
Au 0.7500 0.2500 0.5000

- What is the raw total energy in the third record?
  -4.752 eV/atom